[1]
This record from the Alexandria database describes a relaxed structure of NaCd2F. The functional is GGA-PBE.

The structure belongs to space group I-42d (No. 122); the cell edges are 8.313, 8.313 and 5.200 Å and the angles 90.00°, 90.00° and 90.00°. Symmetry generates all atoms from Na at (0.000, 0.000, 0.000), Cd at (0.185, 0.250, 0.625) and F at (0.000, 0.000, 0.500).

The total energy comes out at -0.078 hartree per atom. The theoretical density is 4.9 g/cm³. The density of states at the Fermi level is 3.51 states/eV per cell. Its uncorrected formation energy is -3.5 eV per formula unit.

=====

[2]
This record from the Alexandria database describes a relaxed structure of NaCdF2. The functional is GGA-PBE.

The structure belongs to space group P4/mmm (No. 123); the cell edges are 2.941, 2.941 and 6.436 Å and the angles 90.00°, 90.00° and 90.00°. Symmetry generates all atoms from Na at (0.000, 0.000, 0.000), Cd at (0.000, 0.000, 0.500) and F at (0.500, 0.500, 0.216).

The total energy comes out at -0.124 hartree per atom. The theoretical density is 5.2 g/cm³. The density of states at the Fermi level is 1.02 states/eV per cell. Its uncorrected formation energy is -7.5 eV per formula unit.

=====

[3]
This record from the Alexandria database describes a relaxed structure of Na2CdF5. The functional is GGA-PBE.

The structure belongs to space group Pnma (No. 62); the cell edges are 9.802, 6.966 and 6.195 Å and the angles 90.00°, 90.00° and 90.00°. Symmetry generates all atoms from Na at (0.172, 0.001, 0.022), Cd at (0.003, 0.750, 0.554), F at (0.011, 0.750, 0.941), F at (0.097, 0.030, 0.662), F at (0.183, 0.750, 0.345) and F at (0.205, 0.250, 0.310).

The total energy comes out at -0.139 hartree per atom. The theoretical density is 4.0 g/cm³. The density of states at the Fermi level is 25.51 states/eV per cell. Its uncorrected formation energy is -17.3 eV per formula unit.

=====

What did the third record say?
This record from the Alexandria database describes a relaxed structure of Na2CdF5. The functional is GGA-PBE.

The structure belongs to space group Pnma (No. 62); the cell edges are 9.802, 6.966 and 6.195 Å and the angles 90.00°, 90.00° and 90.00°. Symmetry generates all atoms from Na at (0.172, 0.001, 0.022), Cd at (0.003, 0.750, 0.554), F at (0.011, 0.750, 0.941), F at (0.097, 0.030, 0.662), F at (0.183, 0.750, 0.345) and F at (0.205, 0.250, 0.310).

The total energy comes out at -0.139 hartree per atom. The theoretical density is 4.0 g/cm³. The density of states at the Fermi level is 25.51 states/eV per cell. Its uncorrected formation energy is -17.3 eV per formula unit.